(1)
{"formula": "Ho4Zn2Ru", "functional": "PBE-GGA", "state": "optimized geometry", "e_tot_ev_per_cell": -31.781, "spacegroup": "P4/mmm", "cell": [[4.901, 0.000, 0.000], [0.000, 4.901, 0.000], [0.000, 0.000, 6.960]], "species": ["Ho", "Ho", "Ho", "Ho", "Zn", "Zn", "Ru"], "frac_coords": [[0.000, 0.500, 0.245], [0.000, 0.500, 0.755], [0.500, 0.000, 0.245], [0.500, 0.000, 0.755], [0.000, 0.000, 0.000], [0.500, 0.500, 0.500], [0.500, 0.500, 0.000]]}

=====

(2)
{"formula": "Be2CrIr", "functional": "PBE-GGA", "state": "optimized geometry", "e_tot_ev_per_cell": -26.206, "spacegroup": "P2/m", "cell": [[2.603, 0.000, 0.000], [0.000, 3.697, 0.000], [-0.779, 0.000, 4.613]], "species": ["Be", "Be", "Cr", "Ir"], "frac_coords": [[0.210, 0.000, 0.243], [0.790, 0.000, 0.757], [0.500, 0.500, 0.000], [0.000, 0.500, 0.500]]}